Here is a relaxed structure of LaPuIr from the Alexandria database. Energies are from GGA-PBE.

a b c (Å): 4.9091 4.9091 4.9091
angles (deg): 60.00 60.00 60.00
Last column: magnetic moment on the atom in μB.
Positions (direct):
Ir (0.2500, 0.2500, 0.2500)  -0.17
La (0.0000, 0.0000, 0.0000)  0.16
Pu (0.5000, 0.5000, 0.5000)  5.38

Calculated values
Energy relative to the lowest polymorph listed for this composition = 120 meV per atom
Theoretical density = 11.42 g cm⁻³
Energy of formation = -376 meV per atom